Computed, not measured: an optimized crystal structure of Li2Pr2YSb2 at the PBE level of DFT.

Structure (POSCAR):
```
Li2Pr2YSb2
1.0
2.380 1.374 9.285
-2.380 1.374 9.285
0.000 -2.748 9.285
Li Pr Y Sb
2 2 1 2
Direct
0.102 0.102 0.102
0.898 0.898 0.898
0.372 0.372 0.372
0.628 0.628 0.628
0.500 0.500 0.500
0.230 0.230 0.230
0.770 0.770 0.770
```

Results
- E: -4.614 eV per atom
- Space group: R-3m (166)
- M_tot: 0.00 Bohr magnetons per cell
- Formation energy from raw total energies: -405.2 kJ/mol of formula units